No. 1
The following is a DFT calculation (PBE) of a geometry-optimized Pm2Ga2Cu3 structure.

Summary:
Total magnetization ... 0.0 μB per formula unit
VASP energy ... -4.358 eV/atom
E_form ... -0.380 eV per atom
SG ... C2/m, No. 12
Volume ... 133.6 Å³/f.u.
N(E_F) ... 4.0 states/eV per cell

Cell lengths 4.2187, 5.6424, 6.5908 Å; angles 111.57, 90.00, 111.95 degrees
Closest atoms and distances in Å follow each position.
Fractional coordinates of all 7 atoms:
Pm (0.8565, 0.7131, 0.2389)  6 Cu 2.99-3.33, 4 Ga 3.04-3.15
Pm (0.1435, 0.2869, 0.7611)  6 Cu 2.99-3.33, 4 Ga 3.04-3.15
Ga (0.8529, 0.7058, 0.7589)  5 Cu 2.56-2.72
Ga (0.1471, 0.2942, 0.2411)  5 Cu 2.56-2.72
Cu (0.5000, 0.0000, 0.0000)  2 Cu 2.53, 4 Ga 2.72
Cu (0.5982, 0.1965, 0.4181)  2 Cu 2.53-2.67, 3 Ga 2.56-2.72
Cu (0.4018, 0.8035, 0.5819)  2 Cu 2.53-2.67, 3 Ga 2.56-2.72

No. 2
The following is a DFT calculation (PBE) of a geometry-optimized PmGaCu structure.

Summary:
Total magnetization ... 0.0 μB per formula unit
Energy above the lowest structure with this stoichiometry ... 209 meV per atom
VASP energy ... -4.237 eV/atom
E_form ... -0.279 eV per atom
SG ... Cm, No. 8
Volume ... 65.0 Å³/f.u.
N(E_F) ... 4.8 states/eV per cell

Cell lengths 4.1673, 4.6905, 8.2233 Å; angles 122.02, 104.68, 90.00 degrees
Closest atoms and distances in Å follow each position.
Fractional coordinates of all 6 atoms:
Pm (0.7301, 0.2183, 0.4603)  4 Cu 2.76-3.05
Pm (0.0103, 0.8177, 0.0206)  5 Cu 3.01-3.34, 3 Ga 3.19-3.36
Ga (0.1935, 0.6502, 0.3871)  2 Cu 2.52
Ga (0.4060, 0.2038, 0.8120)  3 Cu 2.38-2.44
Cu (0.8397, 0.9228, 0.6794)  2 Ga 2.38
Cu (0.5866, 0.4454, 0.1731)  3 Ga 2.44-2.52